{
  "formula": "UAgTe3",
  "functional": "PBE",
  "state": "relaxed",
  "total_energy_ev_per_atom": -5.0341,
  "formation_energy_uncorrected_kj_per_mol_fu": -155.0,
  "dos_at_fermi_per_ev_cell": 13.438,
  "spacegroup": "Cmcm (63)",
  "lattice_angstrom": [[2.328, -9.149, 0.000], [2.328, 9.149, 0.000], [0.000, 0.000, 7.649]],
  "species": ["U", "U", "Ag", "Ag", "Te", "Te", "Te", "Te", "Te", "Te"],
  "fractional_positions": [[0.196, 0.804, 0.750], [0.804, 0.196, 0.250], [0.454, 0.546, 0.750], [0.546, 0.454, 0.250], [0.033, 0.967, 0.750], [0.334, 0.666, 0.503], [0.334, 0.666, 0.997], [0.666, 0.334, 0.003], [0.666, 0.334, 0.497], [0.967, 0.033, 0.250]]
}